Record 1
The following is a PBE-GGA calculation of PrFeTc after structural relaxation, from Alexandria via LeMat-Bulk.

a b c (Å): 6.301 6.301 6.301
angles (deg): 64.65 137.88 133.34
Each line ends with the local moment (μB).
Positions (direct):
Pr  0.250  0.626  0.876  -0.11
Pr  0.750  0.374  0.124  -0.11
Fe  0.000  0.000  0.500  1.24
Fe  0.500  0.500  0.500  1.24
Tc  0.250  0.057  0.307  -0.10
Tc  0.750  0.943  0.693  -0.10

Calculated values
The calculation puts the calculated formation energy at 0.228 eV per atom. For the total DFT energy (no corrections), the calculation gives -7.6409 eV/atom. The value obtained for the spin magnetization is 0.9 μB per formula unit. The volume is 120 Å³/cell.

---

Record 2
The following is a PBE-GGA calculation of PrThFe4 after structural relaxation, from Alexandria via LeMat-Bulk.

a b c (Å): 5.258 5.258 5.258
angles (deg): 60.00 60.00 60.00
Each line ends with the local moment (μB).
Positions (direct):
Pr  0.250  0.250  0.250  -0.32
Fe  0.626  0.626  0.123  2.10
Fe  0.626  0.123  0.626  2.10
Fe  0.626  0.626  0.626  2.10
Fe  0.123  0.626  0.626  2.10
Th  0.000  0.000  0.000  -0.46

Calculated values
The calculation puts the calculated formation energy at 0.035 eV per atom. For the total DFT energy (no corrections), the calculation gives -7.6398 eV/atom. The value obtained for the spin magnetization is 7.1 μB per formula unit. The volume is 103 Å³/cell.

---

Record 3
The following is a PBE-GGA calculation of PrTh3Fe after structural relaxation, from Alexandria via LeMat-Bulk.

a b c (Å): 5.347 5.347 5.347
angles (deg): 90.00 90.00 90.00
Positions (direct):
Pr  0.500  0.500  0.500
Fe  0.000  0.000  0.000
Th  0.000  0.500  0.000
Th  0.000  0.000  0.500
Th  0.500  0.000  0.000

Calculated values
The calculation puts the calculated formation energy at 0.059 eV per atom. For the total DFT energy (no corrections), the calculation gives -7.0413 eV/atom. The value obtained for the spin magnetization is 0.0 μB per formula unit. The volume is 153 Å³/cell.

---

Record 4
The following is a PBE-GGA calculation of PrTiFe11 after structural relaxation, from Alexandria via LeMat-Bulk.

a b c (Å): 6.512 6.512 6.512
angles (deg): 137.77 97.55 97.36
Each line ends with the local moment (μB).
Positions (direct):
Pr  0.005  0.000  0.005  -0.28
Ti  0.631  0.000  0.631  -0.87
Fe  0.500  0.499  0.500  1.77
Fe  0.500  0.000  0.001  1.77
Fe  0.002  0.000  0.500  1.77
Fe  0.002  0.501  0.001  1.77
Fe  0.237  0.500  0.737  2.29
Fe  0.769  0.500  0.269  2.13
Fe  0.771  0.272  0.499  2.25
Fe  0.226  0.728  0.499  2.25
Fe  0.356  0.000  0.356  2.19
Fe  0.358  0.358  0.000  2.48
Fe  0.642  0.642  0.000  2.48

Calculated values
The calculation puts the calculated formation energy at -0.028 eV per atom. For the total DFT energy (no corrections), the calculation gives -8.1635 eV/atom. The value obtained for the spin magnetization is 21.3 μB per formula unit. The volume is 173 Å³/cell.

---

Record 5
The following is a PBE-GGA calculation of PrTiFe4 after structural relaxation, from Alexandria via LeMat-Bulk.

a b c (Å): 5.069 5.069 5.069
angles (deg): 60.00 60.00 60.00
Each line ends with the local moment (μB).
Positions (direct):
Pr  0.000  0.000  0.000  -0.29
Fe  0.624  0.624  0.128  2.17
Fe  0.624  0.128  0.624  2.17
Fe  0.624  0.624  0.624  2.17
Fe  0.128  0.624  0.624  2.17
Ti  0.250  0.250  0.250  -1.19

Calculated values
The calculation puts the calculated formation energy at 0.026 eV per atom. For the total DFT energy (no corrections), the calculation gives -7.7285 eV/atom. The value obtained for the spin magnetization is 6.6 μB per formula unit. The volume is 92 Å³/cell.

---

Record 6
The following is a PBE-GGA calculation of Pr4TlFe after structural relaxation, from Alexandria via LeMat-Bulk.

a b c (Å): 6.085 7.291 9.262
angles (deg): 113.18 108.44 90.00
Positions (direct):
Pr  0.806  0.313  0.627
Pr  0.612  0.363  0.242
Pr  0.000  0.233  0.000
Pr  0.388  0.121  0.758
Pr  0.194  0.687  0.373
Pr  0.388  0.637  0.758
Pr  0.000  0.767  0.000
Pr  0.612  0.879  0.242
Tl  0.195  0.194  0.388
Tl  0.805  0.806  0.612
Fe  0.661  0.484  0.968
Fe  0.339  0.516  0.032

Calculated values
The calculation puts the calculated formation energy at -0.085 eV per atom. For the total DFT energy (no corrections), the calculation gives -5.0759 eV/atom. The value obtained for the spin magnetization is 0.0 μB per formula unit. The volume is 355 Å³/cell.

---

Record 7
The following is a PBE-GGA calculation of Pr6TlFe2 after structural relaxation, from Alexandria via LeMat-Bulk.

a b c (Å): 8.767 8.767 8.767
angles (deg): 107.32 112.27 108.86
Each line ends with the local moment (μB).
Positions (direct):
Pr  0.533  0.816  0.717  -0.07
Pr  0.467  0.184  0.283  -0.07
Pr  0.099  0.816  0.283  -0.07
Pr  0.901  0.184  0.717  -0.07
Pr  0.793  0.027  0.235  0.03
Pr  0.207  0.973  0.765  0.03
Pr  0.207  0.442  0.235  0.03
Pr  0.793  0.558  0.765  0.03
Pr  0.688  0.328  0.016  0.05
Pr  0.312  0.672  0.984  0.05
Pr  0.312  0.328  0.640  0.05
Pr  0.688  0.672  0.360  0.05
Tl  0.000  0.500  0.500  0.01
Tl  0.000  0.000  0.000  0.01
Fe  0.500  0.107  0.607  1.74
Fe  0.500  0.893  0.393  1.74
Fe  0.667  0.667  0.000  -1.04
Fe  0.333  0.333  0.000  -1.04

Calculated values
The calculation puts the calculated formation energy at -0.017 eV per atom. For the total DFT energy (no corrections), the calculation gives -5.3465 eV/atom. The value obtained for the spin magnetization is 0.8 μB per formula unit. The volume is 518 Å³/cell.

---

Record 8
The following is a PBE-GGA calculation of PrTm2Fe after structural relaxation, from Alexandria via LeMat-Bulk.

a b c (Å): 3.464 3.464 10.804
angles (deg): 80.78 80.78 60.00
Each line ends with the local moment (μB).
Positions (direct):
Pr  0.000  0.000  0.000  0.01
Tm  0.110  0.110  0.670  -0.24
Tm  0.890  0.890  0.330  -0.24
Fe  0.500  0.500  0.500  1.46

Calculated values
The calculation puts the calculated formation energy at 0.285 eV per atom. For the total DFT energy (no corrections), the calculation gives -5.2617 eV/atom. The excess energy over the best structure of this formula in the dataset is 254 meV per atom. The value obtained for the spin magnetization is 1.0 μB per formula unit. The volume is 110 Å³/cell.

---

Number 1: D(E_F) 3.6 states/eV/f.u.. Number 2: D(E_F) 5.0 states/eV/f.u.. Number 3: D(E_F) 9.9 states/eV/f.u.. Number 4: D(E_F) 12.3 states/eV/f.u.. Number 5: D(E_F) 6.4 states/eV/f.u.. Number 6: D(E_F) 5.5 states/eV/f.u.. Number 7: D(E_F) 9.2 states/eV/f.u.. Number 8: D(E_F) 5.0 states/eV/f.u..